Computed, not measured: crystalline CoMo2Pb at its relaxed geometry at the PBE level of DFT.

Cell: 2.921 4.182 5.697 Å, 90.00 100.74 90.00°
Fractional positions:
Co 0.000 0.000 0.000
Mo 0.358 0.000 0.419
Mo 0.583 0.500 0.185
Pb 0.944 0.500 0.707

Computed properties:
Space group: No. 6
Energy of formation from the pure elements: 0.541 eV/atom
Density: 11.1 g/cm3
Total magnetization: 0.3185 μB per atom